[1]
Compound: GeTeS2
Source: Alexandria via LeMat-Bulk
Functional: PBE
Structure: optimized geometry

Unit cell a=8.384 b=8.384 c=8.384 alpha=25.40 beta=25.40 gamma=25.40
Fractional positions:
Ge: 0.500 0.500 0.500
Te: 0.000 0.000 0.000
S: 0.893 0.893 0.893
S: 0.107 0.107 0.107

Results
Polymorph energy (0 for the lowest one) = 0.32 eV per formula unit
Raw total energy = -3.9996 eV/atom
Fermi-level density of states = 0.73 states/eV/atom
Volume = 95.4 Å³ per cell


[2]
Compound: GeTeS2
Source: Alexandria via LeMat-Bulk
Functional: PBE
Structure: optimized geometry

Unit cell a=5.812 b=8.286 c=8.264 alpha=82.98 beta=69.46 gamma=69.43
Fractional positions:
Ge: 0.896 0.676 0.184
Ge: 0.396 0.676 0.184
Te: 0.666 0.177 0.684
Te: 0.124 0.177 0.684
S: 0.036 0.677 0.404
S: 0.536 0.896 0.184
S: 0.756 0.457 0.184
S: 0.256 0.676 0.964

Results
Polymorph energy (0 for the lowest one) = 0.00 eV per formula unit
Raw total energy = -4.0803 eV/atom
Fermi-level density of states = 0.48 states/eV/atom
Volume = 348.9 Å³ per cell


[3]
Compound: Ge2TeS2
Source: Alexandria via LeMat-Bulk
Functional: PBE
Structure: optimized geometry

Unit cell a=8.596 b=8.596 c=3.426 alpha=90.00 beta=90.00 gamma=90.00
Fractional positions:
Ge: 0.242 0.742 0.000
Ge: 0.742 0.758 0.000
Ge: 0.758 0.258 0.000
Ge: 0.258 0.242 0.000
Te: 0.000 0.000 0.000
Te: 0.500 0.500 0.000
S: 0.115 0.615 0.500
S: 0.615 0.885 0.500
S: 0.885 0.385 0.500
S: 0.385 0.115 0.500

Results
Polymorph energy (0 for the lowest one) = 0.70 eV per formula unit
Raw total energy = -4.1316 eV/atom
Fermi-level density of states = 0.43 states/eV/atom
Volume = 253.1 Å³ per cell


[4]
Compound: GeTeS2
Source: Alexandria via LeMat-Bulk
Functional: PBE
Structure: optimized geometry

Unit cell a=4.818 b=4.818 c=4.818 alpha=60.00 beta=60.00 gamma=60.00
Fractional positions:
Ge: 0.000 0.000 0.000
Te: 0.500 0.500 0.500
S: 0.250 0.250 0.250
S: 0.750 0.750 0.750

Results
Polymorph energy (0 for the lowest one) = 1.82 eV per formula unit
Raw total energy = -3.6256 eV/atom
Fermi-level density of states = 0.58 states/eV/atom
Volume = 79.1 Å³ per cell


> Which of these has the lowest polymorph energy (0 for the lowest one)?

number 2